No. 1
This record from Alexandria describes a geometry-optimized CsNdC2O6 structure. The functional is PBE.

Computed properties:
- Formation energy from raw total energies: -2.12 eV per atom
- Size of the total moment: 0.00 μB per cell

CIF file:
```
data_CsNdC2O6
_cell_length_a 9.248
_cell_length_b 9.649
_cell_length_c 7.618
_cell_angle_alpha 90.00
_cell_angle_beta 111.89
_cell_angle_gamma 90.00
_symmetry_space_group_name_H-M 'C 1 2/c 1'
_symmetry_Int_Tables_number 15
loop_
_symmetry_equiv_pos_as_xyz
'x,y,z'
'-x,-y,-z'
'-x,y,-z+1/2'
'x,-y,z+1/2'
'x+1/2,y+1/2,z'
'-x+1/2,-y+1/2,-z'
'-x+1/2,y+1/2,-z+1/2'
'x+1/2,-y+1/2,z+1/2'
loop_
_atom_site_label
_atom_site_type_symbol
_atom_site_fract_x
_atom_site_fract_y
_atom_site_fract_z
Cs1 Cs 0.000 0.105 0.250
Nd1 Nd 0.000 0.404 0.750
C1 C 0.223 0.375 0.240
O1 O 0.087 0.383 0.098
O2 O 0.178 0.220 0.751
O3 O 0.249 0.468 0.371
```


No. 2
This record from Alexandria describes a geometry-optimized CsNi3C structure. The functional is PBE.

Computed properties:
- Excess energy over the best structure of this formula in the dataset: 0.0 meV/atom
- Calculated formation energy: 0.92 eV/atom
- Size of the total moment: 0.00 μB per cell

CIF file:
```
data_CsNi3C
_cell_length_a 4.130
_cell_length_b 4.130
_cell_length_c 4.130
_cell_angle_alpha 90.00
_cell_angle_beta 90.00
_cell_angle_gamma 90.00
_symmetry_space_group_name_H-M 'P m -3 m'
_symmetry_Int_Tables_number 221
_symmetry_space_group_name_Hall '-P 4 2 3'
loop_
_atom_site_label
_atom_site_type_symbol
_atom_site_fract_x
_atom_site_fract_y
_atom_site_fract_z
Cs1 Cs 0.000 0.000 0.000
Ni1 Ni 0.000 0.500 0.500
C1 C 0.500 0.500 0.500
```